A relaxed HfTi2Re crystal. Source: Alexandria, functional PBE-GGA.

Properties
The total magnetic moment comes out at 0.000 μB per atom. The value obtained for the energy above the most stable polymorph in this dataset is 173.2 meV per atom.

```
data_HfTi2Re
_cell_length_a 6.4706
_cell_length_b 6.4706
_cell_length_c 6.4706
_cell_angle_alpha 90.00
_cell_angle_beta 90.00
_cell_angle_gamma 90.00
_symmetry_space_group_name_H-M 'F m -3 m'
_symmetry_Int_Tables_number 225
_symmetry_space_group_name_Hall '-F 4 2 3'
loop_
_atom_site_label
_atom_site_type_symbol
_atom_site_fract_x
_atom_site_fract_y
_atom_site_fract_z
Hf1 Hf 0.0000 0.0000 0.0000
Ti1 Ti 0.2500 0.2500 0.2500
Re1 Re 0.0000 0.0000 0.5000
```

A relaxed AcGdTm2 crystal. Source: Alexandria, functional PBE-GGA.

Properties
The total magnetic moment comes out at 1.890 μB per atom. The value obtained for the energy above the most stable polymorph in this dataset is 26.6 meV per atom.

```
data_AcGdTm2
_cell_length_a 4.1275
_cell_length_b 4.1275
_cell_length_c 8.0781
_cell_angle_alpha 90.00
_cell_angle_beta 90.00
_cell_angle_gamma 90.00
_symmetry_space_group_name_H-M 'P 4/m m m'
_symmetry_Int_Tables_number 123
_symmetry_space_group_name_Hall '-P 4 2'
loop_
_atom_site_label
_atom_site_type_symbol
_atom_site_fract_x
_atom_site_fract_y
_atom_site_fract_z
Ac1 Ac 0.0000 0.0000 0.0000
Gd1 Gd 0.0000 0.0000 0.5000
Tm1 Tm 0.5000 0.5000 0.2727
```

A relaxed Tm2CdPd crystal. Source: Alexandria, functional PBE-GGA.

Properties
The total magnetic moment comes out at 0.000 μB per atom. The value obtained for the energy above the most stable polymorph in this dataset is 52.5 meV per atom.

```
data_Tm2CdPd
_cell_length_a 7.1520
_cell_length_b 7.1520
_cell_length_c 7.1520
_cell_angle_alpha 90.00
_cell_angle_beta 90.00
_cell_angle_gamma 90.00
_symmetry_space_group_name_H-M 'F m -3 m'
_symmetry_Int_Tables_number 225
_symmetry_space_group_name_Hall '-F 4 2 3'
loop_
_atom_site_label
_atom_site_type_symbol
_atom_site_fract_x
_atom_site_fract_y
_atom_site_fract_z
Tm1 Tm 0.2500 0.2500 0.2500
Cd1 Cd 0.0000 0.0000 0.0000
Pd1 Pd 0.0000 0.0000 0.5000
```

A relaxed CaScNbCr2 crystal. Source: Alexandria, functional PBE-GGA.

Properties
The total magnetic moment comes out at 0.000 μB per atom. Its total energy is -32.1 eV per cell.

```
data_CaScNbCr2
_cell_length_a 4.6523
_cell_length_b 4.6523
_cell_length_c 5.1411
_cell_angle_alpha 90.00
_cell_angle_beta 90.00
_cell_angle_gamma 90.00
_symmetry_space_group_name_H-M 'P 4/m m m'
_symmetry_Int_Tables_number 123
_symmetry_space_group_name_Hall '-P 4 2'
loop_
_atom_site_label
_atom_site_type_symbol
_atom_site_fract_x
_atom_site_fract_y
_atom_site_fract_z
Ca1 Ca 0.0000 0.0000 0.0000
Sc1 Sc 0.5000 0.5000 0.0000
Nb1 Nb 0.5000 0.5000 0.5000
Cr1 Cr 0.0000 0.5000 0.5000
```

A relaxed Sm2Er2Cd crystal. Source: Alexandria, functional PBE-GGA.

Properties
The total magnetic moment comes out at 0.007 μB per atom. The value obtained for the energy above the most stable polymorph in this dataset is 0.0 meV per atom.

```
data_Sm2Er2Cd
_cell_length_a 3.5788
_cell_length_b 3.5788
_cell_length_c 23.3584
_cell_angle_alpha 90.00
_cell_angle_beta 90.00
_cell_angle_gamma 90.00
_symmetry_space_group_name_H-M 'I 4/m m m'
_symmetry_Int_Tables_number 139
_symmetry_space_group_name_Hall '-I 4 2'
loop_
_atom_site_label
_atom_site_type_symbol
_atom_site_fract_x
_atom_site_fract_y
_atom_site_fract_z
Sm1 Sm 0.0000 0.0000 0.1942
Er1 Er 0.0000 0.0000 0.4132
Cd1 Cd 0.0000 0.0000 0.0000
```

A relaxed TaSb4Mo crystal. Source: Alexandria, functional PBE-GGA.

Properties
The total magnetic moment comes out at 0.301 μB per atom. The calculation puts the formation energy without anion corrections at 1.292 eV/atom.

```
data_TaSb4Mo
_cell_length_a 8.4186
_cell_length_b 8.4186
_cell_length_c 8.4186
_cell_angle_alpha 90.00
_cell_angle_beta 90.00
_cell_angle_gamma 90.00
_symmetry_space_group_name_H-M 'F -4 3 m'
_symmetry_Int_Tables_number 216
_symmetry_space_group_name_Hall 'F -4 2 3'
loop_
_atom_site_label
_atom_site_type_symbol
_atom_site_fract_x
_atom_site_fract_y
_atom_site_fract_z
Ta1 Ta 0.0000 0.0000 0.0000
Sb1 Sb 0.1251 0.1251 0.3749
Mo1 Mo 0.2500 0.2500 0.7500
```

The highest total magnetic moment belongs to which entry?
AcGdTm2